Compound: InTc2Mo
Source: Alexandria via LeMat-Bulk
Functional: PBE
Structure: relaxed

## Properties
ΔE_f ... 1.1 eV/f.u.
DOS(E_F) ... 3.3 states/eV/f.u.

Structure (extended XYZ):
```
4
Lattice="9.2038 0.0138 0.0081 8.7446 2.8711 0.0081 8.7446 1.4055 2.5036" Properties=species:S:1:pos:R:3 pbc="T T T"
Mo 20.0197 3.2178 1.8898
Tc 0.1233 0.0198 0.0116
In 6.6732 1.0726 0.6299
Tc 13.2231 2.1254 1.2482
```

Compound: InTc2Mo
Source: Alexandria via LeMat-Bulk
Functional: PBE
Structure: relaxed

## Properties
ΔE_f ... 1.0 eV/f.u.
DOS(E_F) ... 3.6 states/eV/f.u.

Structure (extended XYZ):
```
4
Lattice="-1.6408 1.4227 1.9555 -2.3155 -3.1826 0.3727 3.3876 -1.9644 4.2716" Properties=species:S:1:pos:R:3 pbc="T T T"
Tc 1.8257 -1.0587 2.3021
Tc 3.2557 -1.8880 4.1053
In -1.1312 -1.3711 2.2320
Mo 0.5626 -2.3533 4.3678
```

Compound: InTcMo2
Source: Alexandria via LeMat-Bulk
Functional: PBE
Structure: relaxed

## Properties
ΔE_f ... 1.4 eV/f.u.
DOS(E_F) ... 4.3 states/eV/f.u.

Structure (extended XYZ):
```
4
Lattice="-3.8149 -0.3740 -3.2347 -3.9003 -2.3990 2.0466 2.8284 3.8520 1.5228" Properties=species:S:1:pos:R:3 pbc="T T T"
In -2.4220 1.0458 -1.1530
Tc -3.8576 -1.3865 -0.5941
Mo -2.4647 0.0332 1.4877
Mo 0.0000 0.0000 0.0000
```

Question: What is the DOS(E_F) in the first record?
Answer: 3.3 states/eV/f.u.

Question: Among the records above, which one has the highest ΔE_f?
Answer: InTcMo2

Please write out number 3 again, unchanged.
Compound: InTcMo2
Source: Alexandria via LeMat-Bulk
Functional: PBE
Structure: relaxed

## Properties
ΔE_f ... 1.4 eV/f.u.
DOS(E_F) ... 4.3 states/eV/f.u.

Structure (extended XYZ):
```
4
Lattice="-3.8149 -0.3740 -3.2347 -3.9003 -2.3990 2.0466 2.8284 3.8520 1.5228" Properties=species:S:1:pos:R:3 pbc="T T T"
In -2.4220 1.0458 -1.1530
Tc -3.8576 -1.3865 -0.5941
Mo -2.4647 0.0332 1.4877
Mo 0.0000 0.0000 0.0000
```

Question: The lowest ΔE_f belongs to which entry?
Answer: number 2